Entry 1:
Crystalline Pm2GaRh at its relaxed geometry. Source: Alexandria, functional PBE.

The space group is Immm (No. 71) and the conventional cell measures 4.351, 4.882 and 9.838 Å, with angles of 90.00, 90.00 and 90.00 degrees. The asymmetric unit holds Pm at (0.000, 0.000, 0.179), Ga at (0.000, 0.000, 0.500) and Rh at (0.000, 0.500, 0.500).

Its density is 7.352 g/cm³. Its formation energy from the elements is -0.4815 eV per atom. The value obtained for the total magnetization is 0.00 μB/cell. For the volume, the calculation gives 26.12 Å³/atom.

Entry 2:
Crystalline Pm2GaRh at its relaxed geometry. Source: Alexandria, functional PBE.

The space group is P2_1/m (No. 11) and the conventional cell measures 6.116, 3.948 and 8.570 Å, with angles of 90.00, 109.22 and 90.00 degrees. The asymmetric unit holds Pm at (0.193, 0.250, 0.410), Pm at (0.275, 0.750, 0.056), Ga at (0.356, 0.750, 0.711) and Rh at (0.117, 0.250, 0.792).

Its density is 7.862 g/cm³. Its formation energy from the elements is -0.6736 eV per atom. The value obtained for the total magnetization is 0.00 μB/cell. For the volume, the calculation gives 24.43 Å³/atom.

Entry 3:
Crystalline Pm2Ga3Rh2 at its relaxed geometry. Source: Alexandria, functional PBE.

The space group is Cmcm (No. 63) and the conventional cell measures 4.260, 18.706 and 7.027 Å, with angles of 90.00, 90.00 and 90.00 degrees. The asymmetric unit holds Pm at (0.000, 0.058, 0.250), Pm at (0.000, 0.162, 0.750), Ga at (0.000, 0.219, 0.250), Ga at (0.000, 0.439, 0.071) and Rh at (0.000, 0.308, 0.545).

Its density is 8.362 g/cm³. Its formation energy from the elements is -0.7200 eV per atom. Its energy above the lowest structure with this stoichiometry is 49 meV per atom. The value obtained for the total magnetization is 0.00 μB/cell. For the volume, the calculation gives 20.00 Å³/atom.